First-principles (PBE) data for a relaxed structure of SiTeMoRh, as listed in Alexandria via LeMat-Bulk.

Unit cell a=7.5133 b=7.5133 c=7.5133 alpha=156.64 beta=155.59 gamma=34.04
Atoms (fractional coordinates):
1 Si 0.0000 0.0000 0.0000
2 Te 0.2492 0.7492 0.5000
3 Mo 0.6001 0.6001 0.0000
4 Rh 0.4061 0.4061 0.0000

Values from the calculation:
- excess energy over the best structure of this formula in the dataset (eV/atom) = 0.134
- calculated total energy (eV per atom) = -6.82
- formation energy without anion corrections (kJ/mol of atoms) = -13.0